(1)
The following is a GGA-PBE calculation of a relaxed Pa2Ni12P3Pt crystal, from Alexandria.

Results
**Formation energy from the elements**: -2.1 eV per formula unit
**Size of the total moment**: 0.0 μB/f.u.

Unit cell a=6.452 b=6.452 c=6.452 alpha=78.64 beta=78.64 gamma=78.64
Fractional coordinates of all 18 atoms:
Pa1 0.117 0.117 0.117
Pa2 0.883 0.883 0.883
Ni1 0.142 0.672 0.672
Ni2 0.159 0.159 0.617
Ni3 0.159 0.617 0.159
Ni4 0.328 0.328 0.858
Ni5 0.328 0.858 0.328
Ni6 0.383 0.841 0.841
Ni7 0.617 0.159 0.159
Ni8 0.672 0.142 0.672
Ni9 0.672 0.672 0.142
Ni10 0.841 0.383 0.841
Ni11 0.841 0.841 0.383
Ni12 0.858 0.328 0.328
P1 0.000 0.500 0.500
P2 0.500 0.000 0.500
P3 0.500 0.500 0.000
Pt1 0.500 0.500 0.500

---

(2)
The following is a GGA-PBE calculation of a relaxed Pa2Ni3P4Pt crystal, from Alexandria.

Results
**Formation energy from the elements**: -8.9 eV per formula unit
**Size of the total moment**: 0.0 μB/f.u.

Unit cell a=4.123 b=4.123 c=8.966 alpha=90.00 beta=90.00 gamma=90.00
Fractional coordinates of all 10 atoms:
Pa1 0.000 0.500 0.237
Pa2 0.500 0.000 0.763
Ni1 0.000 0.500 0.893
Ni2 0.500 0.000 0.107
Ni3 0.500 0.500 0.500
P1 0.000 0.000 0.000
P2 0.000 0.500 0.644
P3 0.500 0.000 0.356
P4 0.500 0.500 0.000
Pt1 0.000 0.000 0.500

---

(3)
The following is a GGA-PBE calculation of a relaxed PuPaNi2P2 crystal, from Alexandria.

Results
**Formation energy from the elements**: -6.1 eV per formula unit
**Size of the total moment**: 5.6 μB/f.u.

Unit cell a=3.898 b=3.898 c=7.814 alpha=90.00 beta=90.00 gamma=120.00
Fractional coordinates of all 6 atoms:
Pu1 0.000 0.000 0.000
Pa1 0.000 0.000 0.500
Ni1 0.333 0.667 0.276
Ni2 0.667 0.333 0.724
P1 0.333 0.667 0.755
P2 0.667 0.333 0.245

---

(4)
The following is a GGA-PBE calculation of a relaxed Pa2NiP4Rh3 crystal, from Alexandria.

Results
**Formation energy from the elements**: -9.5 eV per formula unit
**Size of the total moment**: 0.0 μB/f.u.

Unit cell a=4.176 b=4.176 c=9.171 alpha=90.00 beta=90.00 gamma=90.00
Fractional coordinates of all 10 atoms:
Pa1 0.000 0.500 0.248
Pa2 0.500 0.000 0.752
Ni1 0.500 0.500 0.000
P1 0.000 0.000 0.500
P2 0.000 0.500 0.871
P3 0.500 0.000 0.129
P4 0.500 0.500 0.500
Rh1 0.000 0.000 0.000
Rh2 0.000 0.500 0.615
Rh3 0.500 0.000 0.385

---

(5)
The following is a GGA-PBE calculation of a relaxed PaNi2P2Ru crystal, from Alexandria.

Results
**Formation energy from the elements**: -4.3 eV per formula unit
**Size of the total moment**: 0.0 μB/f.u.

Unit cell a=3.870 b=3.870 c=6.633 alpha=90.00 beta=90.00 gamma=120.00
Fractional coordinates of all 6 atoms:
Pa1 0.000 0.000 0.000
Ni1 0.333 0.667 0.717
Ni2 0.667 0.333 0.283
P1 0.333 0.667 0.290
P2 0.667 0.333 0.710
Ru1 0.000 0.000 0.500

---

(6)
The following is a GGA-PBE calculation of a relaxed Pa2NiP4Ru3 crystal, from Alexandria.

Results
**Formation energy from the elements**: -8.9 eV per formula unit
**Size of the total moment**: 0.0 μB/f.u.

Unit cell a=4.135 b=4.135 c=9.251 alpha=90.00 beta=90.00 gamma=90.00
Fractional coordinates of all 10 atoms:
Pa1 0.000 0.500 0.246
Pa2 0.500 0.000 0.754
Ni1 0.000 0.000 0.500
P1 0.000 0.000 0.000
P2 0.000 0.500 0.632
P3 0.500 0.000 0.368
P4 0.500 0.500 0.000
Ru1 0.000 0.500 0.883
Ru2 0.500 0.000 0.117
Ru3 0.500 0.500 0.500

---

(7)
The following is a GGA-PBE calculation of a relaxed PaNiPS crystal, from Alexandria.

Results
**Raw formation energy**: -4.6 eV per formula unit
**Size of the total moment**: 0.0 μB/f.u.

Unit cell a=4.041 b=4.041 c=8.177 alpha=90.00 beta=90.00 gamma=90.00
Fractional coordinates of all 8 atoms:
Pa1 0.250 0.250 0.227
Pa2 0.750 0.750 0.773
Ni1 0.250 0.750 0.500
Ni2 0.750 0.250 0.500
P1 0.250 0.250 0.647
P2 0.750 0.750 0.353
S1 0.250 0.750 0.000
S2 0.750 0.250 0.000

---

(8)
The following is a GGA-PBE calculation of a relaxed Pa3Ni2P2S4 crystal, from Alexandria.

Results
**Raw formation energy**: -11.4 eV per formula unit
**Size of the total moment**: 0.5 μB/f.u.

Unit cell a=11.370 b=11.370 c=11.370 alpha=158.22 beta=158.22 gamma=30.99
Fractional coordinates of all 11 atoms:
Pa1 0.000 0.000 0.000
Pa2 0.171 0.171 0.000
Pa3 0.829 0.829 0.000
Ni1 0.394 0.394 0.000
Ni2 0.606 0.606 0.000
P1 0.294 0.294 0.000
P2 0.706 0.706 0.000
S1 0.080 0.580 0.500
S2 0.420 0.920 0.500
S3 0.580 0.080 0.500
S4 0.920 0.420 0.500

---

(9)
The following is a GGA-PBE calculation of a relaxed Pa3Ni2P4Se2 crystal, from Alexandria.

Results
**Raw formation energy**: -11.4 eV per formula unit
**Size of the total moment**: 0.0 μB/f.u.

Unit cell a=12.220 b=12.220 c=12.220 alpha=160.44 beta=160.44 gamma=27.80
Fractional coordinates of all 11 atoms:
Pa1 0.000 0.000 0.000
Pa2 0.166 0.166 0.000
Pa3 0.834 0.834 0.000
Ni1 0.450 0.450 0.000
Ni2 0.550 0.550 0.000
P1 0.086 0.586 0.500
P2 0.414 0.914 0.500
P3 0.586 0.086 0.500
P4 0.914 0.414 0.500
Se1 0.293 0.293 0.000
Se2 0.707 0.707 0.000

---

(10)
The following is a GGA-PBE calculation of a relaxed SmPaNi2P2 crystal, from Alexandria.

Results
**Formation energy from the elements**: -7.0 eV per formula unit
**Size of the total moment**: 0.0 μB/f.u.

Unit cell a=3.913 b=3.913 c=7.862 alpha=90.00 beta=90.00 gamma=120.00
Fractional coordinates of all 6 atoms:
Sm1 0.000 0.000 0.000
Pa1 0.000 0.000 0.500
Ni1 0.333 0.667 0.279
Ni2 0.667 0.333 0.721
P1 0.333 0.667 0.751
P2 0.667 0.333 0.249

---

(11)
The following is a GGA-PBE calculation of a relaxed PaTcNiP2 crystal, from Alexandria.

Results
**Formation energy from the elements**: -4.1 eV per formula unit
**Size of the total moment**: 0.0 μB/f.u.

Unit cell a=5.795 b=5.795 c=5.795 alpha=141.13 beta=141.13 gamma=56.14
Fractional coordinates of all 5 atoms:
Pa1 0.000 0.000 0.000
Tc1 0.750 0.250 0.500
Ni1 0.250 0.750 0.500
P1 0.383 0.383 0.000
P2 0.617 0.617 0.000

---

(12)
The following is a GGA-PBE calculation of a relaxed PaTcNiP crystal, from Alexandria.

Results
**Formation energy from the elements**: -0.9 eV per formula unit
**Size of the total moment**: 0.0 μB/f.u.

Unit cell a=3.807 b=4.169 c=4.693 alpha=90.00 beta=90.00 gamma=90.00
Fractional coordinates of all 4 atoms:
Pa1 0.000 0.000 0.000
Tc1 0.500 0.500 0.000
Ni1 0.500 0.000 0.500
P1 0.500 0.500 0.500

---

(13)
The following is a GGA-PBE calculation of a relaxed TmPaNi2P2 crystal, from Alexandria.

Results
**Formation energy from the elements**: -7.0 eV per formula unit
**Size of the total moment**: 0.0 μB/f.u.

Unit cell a=3.883 b=3.883 c=7.647 alpha=90.00 beta=90.00 gamma=120.00
Fractional coordinates of all 6 atoms:
Tm1 0.000 0.000 0.000
Pa1 0.000 0.000 0.500
Ni1 0.333 0.667 0.269
Ni2 0.667 0.333 0.731
P1 0.333 0.667 0.760
P2 0.667 0.333 0.240

---

(14)
The following is a GGA-PBE calculation of a relaxed PaVNiP2 crystal, from Alexandria.

Results
**Formation energy from the elements**: -4.2 eV per formula unit
**Size of the total moment**: 0.2 μB/f.u.

Unit cell a=6.146 b=6.146 c=6.146 alpha=144.80 beta=144.80 gamma=50.64
Fractional coordinates of all 5 atoms:
Pa1 0.000 0.000 0.000
V1 0.750 0.250 0.500
Ni1 0.250 0.750 0.500
P1 0.377 0.377 0.000
P2 0.623 0.623 0.000

---

(15)
The following is a GGA-PBE calculation of a relaxed ZrPaNi2P2 crystal, from Alexandria.

Results
**Formation energy from the elements**: -6.7 eV per formula unit
**Size of the total moment**: 0.0 μB/f.u.

Unit cell a=3.830 b=3.830 c=7.520 alpha=90.00 beta=90.00 gamma=120.00
Fractional coordinates of all 6 atoms:
Zr1 0.000 0.000 0.000
Pa1 0.000 0.000 0.500
Ni1 0.333 0.667 0.248
Ni2 0.667 0.333 0.752
P1 0.333 0.667 0.762
P2 0.667 0.333 0.238

---

(16)
The following is a GGA-PBE calculation of a relaxed NiP2Pb crystal, from Alexandria.

Results
**Formation energy from the elements**: 0.6 eV per formula unit
**Size of the total moment**: 0.0 μB/f.u.

Unit cell a=3.168 b=3.168 c=7.135 alpha=90.00 beta=90.00 gamma=90.00
Fractional coordinates of all 4 atoms:
Ni1 0.000 0.000 0.000
P1 0.000 0.000 0.314
P2 0.500 0.500 0.159
Pb1 0.500 0.500 0.724

---

(17)
The following is a GGA-PBE calculation of a relaxed NiP2Pb crystal, from Alexandria.

Results
**Formation energy from the elements**: 0.4 eV per formula unit
**Size of the total moment**: 0.0 μB/f.u.

Unit cell a=3.243 b=3.243 c=6.850 alpha=90.00 beta=90.00 gamma=90.00
Fractional coordinates of all 4 atoms:
Ni1 0.000 0.000 0.000
P1 0.500 0.500 0.156
P2 0.500 0.500 0.844
Pb1 0.000 0.000 0.500

---

(18)
The following is a GGA-PBE calculation of a relaxed Ni2PPb crystal, from Alexandria.

Results
**Formation energy from the elements**: 0.0 eV per formula unit
**Size of the total moment**: 0.0 μB/f.u.

Unit cell a=3.228 b=3.228 c=6.149 alpha=90.00 beta=90.00 gamma=90.00
Fractional coordinates of all 4 atoms:
Ni1 0.000 0.000 0.000
Ni2 0.500 0.500 0.245
P1 0.000 0.000 0.348
Pb1 0.500 0.500 0.743

---

(19)
The following is a GGA-PBE calculation of a relaxed NiP2Pb crystal, from Alexandria.

Results
**Formation energy from the elements**: 0.0 eV per formula unit
**Size of the total moment**: 0.0 μB/f.u.

Unit cell a=6.852 b=6.852 c=6.852 alpha=131.69 beta=131.69 gamma=70.72
Fractional coordinates of all 8 atoms:
Ni1 0.000 0.000 0.000
Ni2 0.750 0.250 0.500
P1 0.039 0.625 0.914
P2 0.375 0.289 0.414
P3 0.711 0.125 0.086
P4 0.875 0.961 0.586
Pb1 0.250 0.750 0.500
Pb2 0.500 0.500 0.000

---

(20)
The following is a GGA-PBE calculation of a relaxed Ni2PPb crystal, from Alexandria.

Results
**Formation energy from the elements**: 1.3 eV per formula unit
**Size of the total moment**: 0.0 μB/f.u.

Unit cell a=4.428 b=4.428 c=4.428 alpha=60.00 beta=60.00 gamma=60.00
Fractional coordinates of all 4 atoms:
Ni1 0.250 0.250 0.250
Ni2 0.750 0.750 0.750
P1 0.000 0.000 0.000
Pb1 0.500 0.500 0.500

---

(21)
The following is a GGA-PBE calculation of a relaxed NiP2Pb crystal, from Alexandria.

Results
**Formation energy from the elements**: -0.2 eV per formula unit
**Size of the total moment**: 0.0 μB/f.u.

Unit cell a=6.801 b=6.801 c=6.801 alpha=30.99 beta=30.99 gamma=30.99
Fractional coordinates of all 4 atoms:
Ni1 0.000 0.000 0.000
P1 0.285 0.285 0.285
P2 0.715 0.715 0.715
Pb1 0.500 0.500 0.500

---

(22)
The following is a GGA-PBE calculation of a relaxed NiPPb2 crystal, from Alexandria.

Results
**Formation energy from the elements**: 1.2 eV per formula unit
**Size of the total moment**: 0.0 μB/f.u.

Unit cell a=7.030 b=7.030 c=7.030 alpha=32.30 beta=32.30 gamma=32.30
Fractional coordinates of all 4 atoms:
Ni1 0.000 0.000 0.000
P1 0.500 0.500 0.500
Pb1 0.255 0.255 0.255
Pb2 0.745 0.745 0.745

---

(23)
The following is a GGA-PBE calculation of a relaxed NiPPb2 crystal, from Alexandria.

Results
**Formation energy from the elements**: 0.1 eV per formula unit
**Size of the total moment**: 0.0 μB/f.u.

Unit cell a=6.945 b=6.945 c=6.945 alpha=146.94 beta=146.41 gamma=47.85
Fractional coordinates of all 4 atoms:
Ni1 0.000 0.000 0.000
P1 0.928 0.428 0.500
Pb1 0.342 0.842 0.500
Pb2 0.597 0.597 0.000

---

(24)
The following is a GGA-PBE calculation of a relaxed Ni3PPb crystal, from Alexandria.

Results
**Formation energy from the elements**: 7.4 eV per formula unit
**Excess energy over the best structure of this formula in the dataset**: 1521 meV per atom
**Size of the total moment**: 0.0 μB/f.u.

Unit cell a=4.726 b=4.726 c=4.726 alpha=90.00 beta=90.00 gamma=90.00
Fractional coordinates of all 5 atoms:
Ni1 0.000 0.000 0.500
Ni2 0.000 0.500 0.000
Ni3 0.500 0.000 0.000
P1 0.500 0.500 0.500
Pb1 0.000 0.000 0.000

---

(25)
The following is a GGA-PBE calculation of a relaxed NiP2Pb crystal, from Alexandria.

Results
**Formation energy from the elements**: 1.0 eV per formula unit
**Size of the total moment**: 0.0 μB/f.u.

Unit cell a=5.608 b=5.608 c=5.608 alpha=149.51 beta=120.21 gamma=68.59
Fractional coordinates of all 4 atoms:
Ni1 0.000 0.000 0.000
P1 0.184 0.684 0.500
P2 0.816 0.316 0.500
Pb1 0.500 0.500 0.000

---

(26)
The following is a GGA-PBE calculation of a relaxed NiPPb2 crystal, from Alexandria.

Results
**Formation energy from the elements**: 0.0 eV per formula unit
**Size of the total moment**: 0.0 μB/f.u.

Unit cell a=4.147 b=3.975 c=5.990 alpha=90.00 beta=110.25 gamma=90.00
Fractional coordinates of all 4 atoms:
Ni1 0.000 0.000 0.000
P1 0.077 0.500 0.162
Pb1 0.388 0.500 0.786
Pb2 0.675 0.000 0.356

---

(27)
The following is a GGA-PBE calculation of a relaxed NiP2Pb crystal, from Alexandria.

Results
**Formation energy from the elements**: -0.2 eV per formula unit
**Size of the total moment**: 0.0 μB/f.u.

Unit cell a=3.686 b=3.686 c=6.932 alpha=97.89 beta=97.89 gamma=54.65
Fractional coordinates of all 4 atoms:
Ni1 0.000 0.000 0.000
P1 0.290 0.290 0.863
P2 0.710 0.710 0.137
Pb1 0.500 0.500 0.500